[1]
Compound: Nd2MnSi3Pt12
Source: Alexandria
Functional: GGA-PBE
Structure: relaxed

Lattice parameters (Å, degrees): 8.2380 8.2380 18.1681 90.00 90.00 120.00
Last column: nearest neighbours and their distance in Å.
Space group R-3m (No. 166, hexagonal axes)
Inequivalent atoms, fractional coordinates:
Nd  0.0000  0.0000  0.1113  6 Pt 2.92-2.93
Mn  0.0000  0.0000  0.5000  6 Pt 2.50
Si  0.0000  0.5000  0.0000  6 Pt 2.33-2.37
Pt  0.0023  0.5011  0.8720  1 Si 2.33, 1 Mn 2.50
Pt  0.0290  0.5145  0.3684  2 Si 2.37

E_form (uncorrected) = -0.47 eV per atom

=====

[2]
Compound: Pt3SeO
Source: Alexandria
Functional: GGA-PBE
Structure: relaxed

Lattice parameters (Å, degrees): 4.3265 4.3265 4.3265 90.00 90.00 90.00
Last column: nearest neighbours and their distance in Å.
Space group Pm-3m (No. 221)
Inequivalent atoms, fractional coordinates:
Pt  0.0000  0.0000  0.5000  2 O 2.16
Se  0.5000  0.5000  0.5000  12 Pt 3.06
O  0.0000  0.0000  0.0000  6 Pt 2.16

E_form (uncorrected) = 0.70 eV per atom
ΔE to the lowest computed polymorph = 0 meV per atom

=====

[3]
Compound: ZnReTe4
Source: Alexandria
Functional: GGA-PBE
Structure: relaxed

Lattice parameters (Å, degrees): 8.9327 8.9327 8.9327 90.00 90.00 90.00
Last column: nearest neighbours and their distance in Å.
Space group F-43m (No. 216)
Inequivalent atoms, fractional coordinates:
Zn  0.0000  0.0000  0.0000  12 Te 3.71, 4 Re 3.87
Re  0.2500  0.2500  0.7500  12 Te 3.70, 4 Zn 3.87
Te  0.1240  0.1240  0.3760  6 Te 3.13-3.18

E_form (uncorrected) = 1.30 eV per atom

=====

[4]
Compound: Bi2NO
Source: Alexandria
Functional: GGA-PBE
Structure: relaxed

Lattice parameters (Å, degrees): 5.6310 5.6310 10.8588 90.00 90.00 90.00
Last column: nearest neighbours and their distance in Å.
Space group I-42d (No. 122)
Inequivalent atoms, fractional coordinates:
Bi  0.2412  0.2500  0.1250  2 N 2.38, 2 O 2.44
N  0.0000  0.0000  0.0000  4 Bi 2.38
O  0.0000  0.0000  0.5000  4 Bi 2.44

E_form (uncorrected) = 0.06 eV per atom
ΔE to the lowest computed polymorph = 0 meV per atom

=====

[5]
Compound: CeInPb
Source: Alexandria
Functional: GGA-PBE
Structure: relaxed

Lattice parameters (Å, degrees): 4.8695 4.8695 4.4080 90.00 90.00 120.00
Last column: nearest neighbours and their distance in Å.
Space group P3m1 (No. 156)
Inequivalent atoms, fractional coordinates:
Ce  0.0000  0.0000  0.0000  3 In 3.23, 3 Pb 3.29
In  0.6667  0.3333  0.6394  3 Pb 3.02, 3 Ce 3.23
Pb  0.3333  0.6667  0.3874  3 In 3.02, 3 Ce 3.29

ΔE to the lowest computed polymorph = 24 meV per atom
energy of formation = -262 meV per atom

=====

[6]
Compound: KRb2SiNi
Source: Alexandria
Functional: GGA-PBE
Structure: relaxed

Lattice parameters (Å, degrees): 6.6813 6.6813 4.4697 90.00 90.00 90.00
Last column: nearest neighbours and their distance in Å.
Space group P4/mmm (No. 123)
Inequivalent atoms, fractional coordinates:
K  0.0000  0.0000  0.0000  8 Rb 4.02, 2 K 4.47
Rb  0.0000  0.5000  0.5000  2 Ni 3.34
Si  0.5000  0.5000  0.0000  2 Ni 2.23
Ni  0.5000  0.5000  0.5000  2 Si 2.23

E_form (uncorrected) = 0.25 eV per atom

=====

| no. | magnetic moment (μB/atom) |
| --- | --- |
| 1 | 0.225 |
| 2 | 0.000 |
| 3 | 0.823 |
| 4 | 0.000 |
| 5 | 0.340 |
| 6 | 0.000 |